1.
Compound: PuTlIn6
Source: Alexandria
Functional: PBE-GGA
Structure: optimized geometry

Output
For the final energy, the calculation gives -4.19 eV/atom. Its density of states at the Fermi level is 1.87 states/eV/atom. The calculated density is 8.78 g cm⁻³. The calculation puts the formation energy from the elements at -46 meV/atom.

abc: 4.750 6.729 6.729
angles: 90.00 90.00 90.00
Fractional positions:
Pu1 0.500 0.000 0.000
In1 0.500 0.000 0.500
In2 0.000 0.756 0.756
Tl1 0.500 0.500 0.500
In3 0.000 0.756 0.244
In4 0.000 0.244 0.756
In5 0.000 0.244 0.244
In6 0.500 0.500 0.000

2.
Compound: Sc8Cu2Sn
Source: Alexandria
Functional: PBE-GGA
Structure: optimized geometry

Output
For the final energy, the calculation gives -5.87 eV/atom. Its density of states at the Fermi level is 1.42 states/eV/atom. The calculated density is 4.10 g cm⁻³. The calculation puts the formation energy from the elements at -158 meV/atom.

abc: 4.873 7.559 7.559
angles: 113.63 98.57 98.57
Fractional positions:
Sc1 0.500 0.244 0.756
Cu1 0.000 0.312 0.688
Sc2 0.305 0.608 0.608
Sn1 0.500 0.000 0.000
Sc3 0.910 0.924 0.675
Sc4 0.910 0.675 0.924
Sc5 0.695 0.392 0.392
Cu2 0.000 0.688 0.312
Sc6 0.090 0.325 0.076
Sc7 0.500 0.756 0.244
Sc8 0.090 0.076 0.325

3.
Compound: Sr2H3Pt2
Source: Alexandria
Functional: PBE-GGA
Structure: optimized geometry

Output
For the final energy, the calculation gives -4.20 eV/atom. Its density of states at the Fermi level is 0.45 states/eV/atom. The calculated density is 8.68 g cm⁻³.

abc: 6.561 6.561 6.561
angles: 109.47 109.47 109.47
Fractional positions:
H1 0.004 0.254 0.250
H2 0.750 0.504 0.254
Sr1 0.000 0.000 0.507
H3 0.746 0.750 0.996
H4 0.754 0.250 0.504
Sr2 0.007 0.500 0.000
Pt1 0.507 0.500 0.000
Pt2 0.993 0.493 0.493
Sr3 0.493 0.993 0.993
Pt3 0.500 0.007 0.500
H5 0.250 0.996 0.246
Pt4 0.000 0.000 0.007
H6 0.496 0.246 0.750
Sr4 0.500 0.507 0.500

4.
Compound: CaAl2Cd
Source: Alexandria
Functional: PBE-GGA
Structure: optimized geometry

Output
For the final energy, the calculation gives -2.62 eV/atom. Its density of states at the Fermi level is 0.55 states/eV/atom. The calculated density is 3.77 g cm⁻³. The calculation puts the formation energy from the elements at -23 meV/atom.

abc: 5.587 5.587 5.587
angles: 133.29 133.19 68.28
Fractional positions:
Ca1 0.750 0.250 0.500
Al1 0.500 0.500 0.000
Cd1 0.250 0.750 0.500
Al2 0.000 0.000 0.000

5.
Compound: Tm2MgZn16
Source: Alexandria
Functional: PBE-GGA
Structure: optimized geometry

Output
For the final energy, the calculation gives -1.84 eV/atom. Its density of states at the Fermi level is 0.21 states/eV/atom. The calculated density is 7.61 g cm⁻³. The calculation puts the formation energy from the elements at -212 meV/atom.

abc: 6.802 6.802 6.802
angles: 82.59 82.59 82.59
Fractional positions:
Zn1 0.000 0.496 0.000
Zn2 0.000 0.000 0.496
Zn3 0.834 0.353 0.353
Zn4 0.353 0.353 0.834
Tm1 0.339 0.339 0.339
Zn5 0.299 0.699 0.000
Zn6 0.699 0.299 0.000
Tm2 0.659 0.659 0.659
Zn7 0.000 0.699 0.299
Zn8 0.496 0.000 0.000
Zn9 0.299 0.000 0.699
Zn10 0.646 0.160 0.646
Zn11 0.699 0.000 0.299
Zn12 0.160 0.646 0.646
Zn13 0.112 0.112 0.112
Zn14 0.646 0.646 0.160
Zn15 0.000 0.299 0.699
Zn16 0.353 0.834 0.353
Mg1 0.906 0.906 0.906

6.
Compound: Cs2LaAg2Cl6
Source: Alexandria
Functional: PBE-GGA
Structure: optimized geometry

Output
For the final energy, the calculation gives -3.67 eV/atom. Its density of states at the Fermi level is 0.13 states/eV/atom. As for the uncorrected formation energy: -1.539 eV per atom. The calculated density is 3.39 g cm⁻³.

abc: 7.938 7.781 9.018
angles: 116.69 90.00 120.67
Fractional positions:
Cs1 0.709 0.418 0.174
Cl1 0.269 0.538 0.423
Cl2 0.324 0.120 0.765
Cs2 0.291 0.582 0.826
Cl3 0.676 0.880 0.235
Ag1 0.046 0.092 0.175
Cl4 0.731 0.462 0.577
Cl5 0.796 0.120 0.765
Ag2 0.954 0.908 0.825
La1 0.500 0.000 0.500
Cl6 0.204 0.880 0.235

7.
Compound: Tl5Os
Source: Alexandria
Functional: PBE-GGA
Structure: optimized geometry

Output
For the final energy, the calculation gives -2.84 eV/atom. As for the relative energy among the computed polymorphs: 0.568 eV/atom. Its density of states at the Fermi level is 0.66 states/eV/atom. The calculated density is 11.98 g cm⁻³. The calculation puts the formation energy from the elements at 1003 meV/atom.

abc: 6.193 6.193 6.193
angles: 60.00 60.00 60.00
Fractional positions:
Tl1 0.626 0.123 0.626
Os1 0.000 0.000 0.000
Tl2 0.123 0.626 0.626
Tl3 0.250 0.250 0.250
Tl4 0.626 0.626 0.626
Tl5 0.626 0.626 0.123

8.
Compound: NaPtOF2
Source: Alexandria
Functional: PBE-GGA
Structure: optimized geometry

Output
For the final energy, the calculation gives -3.35 eV/atom. As for the relative energy among the computed polymorphs: 1.079 eV/atom. Its density of states at the Fermi level is 1.00 states/eV/atom. As for the uncorrected formation energy: -0.135 eV per atom. The calculated density is 6.68 g cm⁻³.

abc: 3.958 3.958 4.315
angles: 90.00 90.00 90.00
Fractional positions:
F1 0.500 0.000 0.000
O1 0.000 0.000 0.500
Na1 0.000 0.000 0.000
F2 0.000 0.500 0.000
Pt1 0.500 0.500 0.500

9.
Compound: AlIn
Source: Alexandria
Functional: PBE-GGA
Structure: optimized geometry

Output
For the final energy, the calculation gives -3.04 eV/atom. Its density of states at the Fermi level is 0.24 states/eV/atom. The calculated density is 5.27 g cm⁻³. The calculation puts the formation energy from the elements at 202 meV/atom.

abc: 3.106 3.106 5.349
angles: 90.00 90.00 120.00
Fractional positions:
Al1 0.000 0.000 0.000
In1 0.667 0.333 0.500

10.
Compound: Ti12Si6Mo
Source: Alexandria
Functional: PBE-GGA
Structure: optimized geometry

Output
For the final energy, the calculation gives -7.49 eV/atom. Its density of states at the Fermi level is 1.19 states/eV/atom. As for the uncorrected formation energy: -0.219 eV per atom. The calculated density is 4.43 g cm⁻³.

abc: 7.213 7.213 7.213
angles: 106.76 106.76 106.76
Fractional positions:
Si1 0.245 0.650 0.350
Si2 0.755 0.350 0.650
Mo1 0.000 0.000 0.000
Ti1 0.914 0.334 0.056
Si3 0.350 0.245 0.650
Si4 0.650 0.755 0.350
Ti2 0.334 0.056 0.914
Ti3 0.666 0.944 0.086
Ti4 0.682 0.553 0.976
Si5 0.650 0.350 0.245
Ti5 0.447 0.024 0.318
Ti6 0.976 0.682 0.553
Ti7 0.056 0.914 0.334
Ti8 0.318 0.447 0.024
Ti9 0.086 0.666 0.944
Ti10 0.944 0.086 0.666
Ti11 0.024 0.318 0.447
Ti12 0.553 0.976 0.682
Si6 0.350 0.650 0.755

11.
Compound: AlCu2Se
Source: Alexandria
Functional: PBE-GGA
Structure: optimized geometry

Output
For the final energy, the calculation gives -3.80 eV/atom. Its density of states at the Fermi level is 0.34 states/eV/atom. As for the uncorrected formation energy: 0.051 eV per atom. The calculated density is 5.88 g cm⁻³.

abc: 5.729 5.729 5.729
angles: 144.04 143.17 52.43
Fractional positions:
Al1 0.249 0.749 0.500
Cu1 0.747 0.247 0.500
Se1 0.436 0.436 0.000
Cu2 0.068 0.068 0.000

12.
Compound: Co2NiAs
Source: Alexandria
Functional: PBE-GGA
Structure: optimized geometry

Output
For the final energy, the calculation gives -6.06 eV/atom. Its density of states at the Fermi level is 1.42 states/eV/atom. The calculated density is 8.76 g cm⁻³. The calculation puts the formation energy from the elements at 101 meV/atom.

abc: 3.027 3.027 5.202
angles: 90.00 90.00 89.98
Fractional positions:
As1 0.500 0.500 0.750
Ni1 0.500 0.500 0.250
Co1 0.000 0.000 0.003
Co2 0.000 0.000 0.497